(1)
VASP calculation (PBE) on a geometry-optimized CePrAlGa structure.

Results
* M_tot: 0.80 μB/f.u.
* DFT formation energy: -374 meV per atom
* symmetry: No. 216
* density: 6.16 g/cm³
* Fermi-level density of states: 1.627 states/eV/atom
* volume: 25.5 Å³ per atom

abc: 5.242 5.242 5.242
angles: 60.00 60.00 60.00
Fractional coordinates of all 4 atoms:
1 Pr 0.500 0.500 0.500
2 Ga 0.750 0.750 0.750
3 Al 0.250 0.250 0.250
4 Ce 0.000 0.000 0.000


(2)
VASP calculation (PBE) on a geometry-optimized CdOsBr2 structure.

Results
* M_tot: 0.00 μB/f.u.
* symmetry: No. 65
* density: 7.96 g/cm³
* offset from the most stable computed form: 368 meV per atom
* Fermi-level density of states: 0.507 states/eV/atom
* energy relative to the elements, uncorrected: 600 meV per atom
* volume: 24.1 Å³ per atom

abc: 3.348 3.348 10.441
angles: 90.00 90.00 124.46
Fractional coordinates of all 4 atoms:
1 Os 0.500 0.500 0.750
2 Br 0.000 0.000 0.561
3 Cd 0.500 0.500 0.250
4 Br 0.000 0.000 0.939


(3)
VASP calculation (PBE) on a geometry-optimized Li3As structure.

Results
* M_tot: 0.00 μB/f.u.
* DFT formation energy: -386 meV per atom
* symmetry: No. 47
* density: 2.39 g/cm³
* Fermi-level density of states: 0.403 states/eV/atom
* volume: 16.6 Å³ per atom

abc: 2.999 3.986 5.553
angles: 90.00 90.00 90.00
Fractional coordinates of all 4 atoms:
1 As 0.000 0.000 0.000
2 Li 0.000 0.000 0.500
3 Li 0.500 0.500 0.784
4 Li 0.500 0.500 0.216